Computed, not measured: LaTaRu2 after structural relaxation at the PBEsol level of DFT.

The space group is P4mm (No. 99) and the conventional cell measures 3.5542, 3.5542 and 6.2191 Å, with angles of 90.00, 90.00 and 90.00 degrees. The inequivalent atoms are La at (0.0000, 0.0000, 0.0000), Ta at (0.5000, 0.5000, 0.5961), Ru at (0.0000, 0.0000, 0.4885) and Ru at (0.5000, 0.5000, 0.2076).

The total magnetization comes out at 0.00 μB/f.u. The value obtained for the density is 11.03 Mg/m³. The calculation puts the density of states at the Fermi level at 3.7 states/eV per cell. Its calculated total energy is -36.927 eV for the cell shown.